Material: CrAsOF2
Method: DFT, PBE+U
State: relaxed

DFT total energy, eV per atom: -4.836
Symmetry: P4/mmm
DOS(E_F), states/eV per cell: 4.719

Lattice parameters (Å, degrees): 4.2199 4.2199 3.5883 90.00 90.00 90.00
Atoms (fractional coordinates):
1 Cr 0.0000 0.0000 0.0000
2 As 0.5000 0.5000 0.5000
3 O 0.0000 0.0000 0.5000
4 F 0.0000 0.5000 0.0000
5 F 0.5000 0.0000 0.0000